The following is a PBE calculation of a relaxed structure of Pr2Sm4Er5, from Alexandria via LeMat-Bulk.

Lattice parameters (Å, degrees): 24.0385 3.4707 8.7813 90.00 96.54 90.00
Last column: nearest neighbours and their distance in Å.
Space group C2/m (No. 12)
Unique sites:
Pr  0.0908  0.0000  0.2431 [4 per cell]  2 Sm 3.30-3.43, 2 Er 3.39-3.42, 2 Pr 3.47
Sm  0.0459  0.0000  0.8579 [4 per cell]  3 Er 3.30-3.65, 2 Pr 3.30-3.43, 5 Sm 3.47-3.68
Sm  0.1792  0.5000  0.9720 [4 per cell]  6 Sm 3.47-3.80, 5 Er 3.56-3.69, 2 Pr 3.79
Er  0.0000  0.5000  0.5000 [2 per cell]  6 Er 3.47-3.87, 4 Sm 3.65, 4 Pr 3.74
Er  0.1423  0.0000  0.6190 [4 per cell]  3 Sm 3.30-3.58, 1 Pr 3.39, 5 Er 3.44-3.54
Er  0.2334  0.0000  0.3293 [4 per cell]  1 Pr 3.42, 7 Er 3.44-3.54, 3 Sm 3.56-3.69

formation energy from the elements: 148.2 meV per atom
magnetic moment: 0.00 μB/cell
calculated volume: 33.08 Å³/atom
energy: -99.24 eV/cell
distance to the lowest polymorph of the same formula: 25 meV per atom